Entry 1:
CaTbSc2Se4 after structural relaxation. Source: the Alexandria database, functional PBE.

Cell lengths 6.9371, 3.9814, 6.9477 Å; angles 90.00, 109.11, 90.00 degrees
Closest atoms and distances in Å follow each position.
Positions (direct):
1 Ca 0.0000 0.0000 0.0000  6 Se 2.89-2.90
2 Tb 0.0000 0.5000 0.5000  6 Se 2.89
3 Sc 0.5000 0.0000 0.5000  6 Se 2.77
4 Sc 0.5000 0.5000 0.0000  6 Se 2.77
5 Se 0.2661 0.0000 0.7555  3 Sc 2.77, 1 Ca 2.89, 2 Tb 2.89
6 Se 0.2667 0.5000 0.2561  3 Sc 2.77, 1 Tb 2.89, 2 Ca 2.90
7 Se 0.7333 0.5000 0.7439  3 Sc 2.77, 1 Tb 2.89, 2 Ca 2.90
8 Se 0.7339 0.0000 0.2445  3 Sc 2.77, 1 Ca 2.89, 2 Tb 2.89

Computed properties:
- Uncorrected formation energy: -1.725 eV per atom

Entry 2:
Ca2ThScSe4 after structural relaxation. Source: the Alexandria database, functional PBE.

Cell lengths 7.0725, 4.0619, 7.2900 Å; angles 90.00, 108.59, 90.00 degrees
Closest atoms and distances in Å follow each position.
Positions (direct):
1 Ca 0.0000 0.0000 0.0000  6 Se 2.98-3.00
2 Ca 0.5000 0.5000 0.0000  6 Se 2.88-2.89
3 Th 0.0000 0.5000 0.5000  6 Se 2.95-2.96
4 Sc 0.5000 0.0000 0.5000  6 Se 2.84-2.85
5 Se 0.2635 0.0000 0.7517  1 Sc 2.85, 3 Ca 2.88-2.98, 2 Th 2.96
6 Se 0.2657 0.5000 0.2602  2 Sc 2.84, 3 Ca 2.89-3.00, 1 Th 2.95
7 Se 0.7343 0.5000 0.7398  2 Sc 2.84, 3 Ca 2.89-3.00, 1 Th 2.95
8 Se 0.7365 0.0000 0.2483  1 Sc 2.85, 3 Ca 2.88-2.98, 2 Th 2.96

Computed properties:
- Uncorrected formation energy: -1.711 eV per atom

Entry 3:
Ca2ScTiSe after structural relaxation. Source: the Alexandria database, functional PBE.

Cell lengths 5.5348, 5.5348, 4.9191 Å; angles 90.00, 90.00, 90.00 degrees
Closest atoms and distances in Å follow each position.
Positions (direct):
1 Ca 0.0000 0.5000 0.0000  2 Se 2.77
2 Ca 0.5000 0.0000 0.0000  2 Se 2.77
3 Sc 0.0000 0.0000 0.5000  8 Ca 3.70, 4 Ti 3.91
4 Ti 0.5000 0.5000 0.5000  2 Se 2.46
5 Se 0.5000 0.5000 0.0000  2 Ti 2.46

Computed properties:
- Uncorrected formation energy: -0.128 eV per atom

Entry 4:
Ca4Tm3ScSe8 after structural relaxation. Source: the Alexandria database, functional PBE.

Cell lengths 8.2209, 8.2209, 8.2209 Å; angles 59.16, 59.16, 59.16 degrees
Closest atoms and distances in Å follow each position.
Positions (direct):
1 Ca 0.0000 0.0000 0.0000  6 Se 2.96
2 Ca 0.0000 0.5000 0.5000  6 Se 2.92-2.93
3 Ca 0.5000 0.0000 0.5000  6 Se 2.92-2.93
4 Ca 0.5000 0.5000 0.0000  6 Se 2.92-2.93
5 Tm 0.0000 0.0000 0.5000  6 Se 2.85
6 Tm 0.0000 0.5000 0.0000  6 Se 2.85
7 Tm 0.5000 0.0000 0.0000  6 Se 2.85
8 Sc 0.5000 0.5000 0.5000  6 Se 2.82
9 Se 0.2470 0.2470 0.2470  3 Tm 2.85, 3 Ca 2.92
10 Se 0.2500 0.7440 0.7440  1 Sc 2.82, 2 Tm 2.85, 3 Ca 2.92-2.96
11 Se 0.2560 0.2560 0.7500  1 Sc 2.82, 2 Tm 2.85, 3 Ca 2.93-2.96
12 Se 0.2560 0.7500 0.2560  1 Sc 2.82, 2 Tm 2.85, 3 Ca 2.93-2.96
13 Se 0.7440 0.2500 0.7440  1 Sc 2.82, 2 Tm 2.85, 3 Ca 2.92-2.96
14 Se 0.7440 0.7440 0.2500  1 Sc 2.82, 2 Tm 2.85, 3 Ca 2.92-2.96
15 Se 0.7500 0.2560 0.2560  1 Sc 2.82, 2 Tm 2.85, 3 Ca 2.93-2.96
16 Se 0.7530 0.7530 0.7530  3 Tm 2.85, 3 Ca 2.92

Computed properties:
- Uncorrected formation energy: -1.823 eV per atom

Entry 5:
Ca3TmSc2Se6 after structural relaxation. Source: the Alexandria database, functional PBE.

Cell lengths 6.9684, 6.9684, 7.1037 Å; angles 99.44, 99.44, 119.93 degrees
Closest atoms and distances in Å follow each position.
Positions (direct):
1 Ca 0.0000 0.0000 0.0000  6 Se 2.90-2.94
2 Ca 0.3347 0.6653 0.0000  6 Se 2.91-2.94
3 Ca 0.6653 0.3347 0.0000  6 Se 2.91-2.94
4 Tm 0.5000 0.5000 0.5000  6 Se 2.84
5 Sc 0.1663 0.8337 0.5000  6 Se 2.79-2.80
6 Sc 0.8337 0.1663 0.5000  6 Se 2.79-2.80
7 Se 0.0834 0.4218 0.2646  2 Sc 2.80, 1 Tm 2.84, 3 Ca 2.91-2.94
8 Se 0.2401 0.2401 0.7347  2 Sc 2.79, 1 Tm 2.84, 3 Ca 2.90-2.93
9 Se 0.4218 0.0834 0.2646  2 Sc 2.80, 1 Tm 2.84, 3 Ca 2.91-2.94
10 Se 0.5782 0.9166 0.7354  2 Sc 2.80, 1 Tm 2.84, 3 Ca 2.91-2.94
11 Se 0.7599 0.7599 0.2653  2 Sc 2.79, 1 Tm 2.84, 3 Ca 2.90-2.93
12 Se 0.9166 0.5782 0.7354  2 Sc 2.80, 1 Tm 2.84, 3 Ca 2.91-2.94

Computed properties:
- Uncorrected formation energy: -1.800 eV per atom

Entry 6:
CaTmSc4Se8 after structural relaxation. Source: the Alexandria database, functional PBE.

Cell lengths 8.1880, 8.1880, 8.1880 Å; angles 59.25, 59.25, 59.25 degrees
Closest atoms and distances in Å follow each position.
Positions (direct):
1 Ca 0.0000 0.0000 0.0000  4 Se 2.75
2 Tm 0.6298 0.6298 0.6298  6 Se 2.79-2.87
3 Sc 0.1232 0.6295 0.6295  6 Se 2.69-2.81
4 Sc 0.2546 0.2546 0.2546  4 Se 2.62-2.64
5 Sc 0.6295 0.1232 0.6295  6 Se 2.69-2.81
6 Sc 0.6295 0.6295 0.1232  6 Se 2.69-2.81
7 Se 0.3811 0.3811 0.8594  3 Sc 2.62-2.81, 1 Tm 2.87
8 Se 0.3811 0.8594 0.3811  3 Sc 2.62-2.81, 1 Tm 2.87
9 Se 0.3857 0.3857 0.3857  4 Sc 2.64-2.81
10 Se 0.4141 0.8713 0.8713  2 Sc 2.69, 1 Ca 2.75, 1 Tm 2.79
11 Se 0.8594 0.3811 0.3811  3 Sc 2.62-2.81, 1 Tm 2.87
12 Se 0.8637 0.8637 0.8637  3 Sc 2.70, 1 Ca 2.75
13 Se 0.8713 0.4141 0.8713  2 Sc 2.69, 1 Ca 2.75, 1 Tm 2.79
14 Se 0.8713 0.8713 0.4141  2 Sc 2.69, 1 Ca 2.75, 1 Tm 2.79

Computed properties:
- Uncorrected formation energy: -1.673 eV per atom

Entry 7:
CaTm4ScSe8 after structural relaxation. Source: the Alexandria database, functional PBE.

Cell lengths 8.2662, 8.2662, 8.2662 Å; angles 60.70, 60.70, 60.70 degrees
Closest atoms and distances in Å follow each position.
Positions (direct):
1 Ca 0.0000 0.0000 0.0000  4 Se 2.77
2 Tm 0.1150 0.6245 0.6245  6 Se 2.80-2.89
3 Tm 0.2452 0.2452 0.2452  4 Se 2.70-2.72
4 Tm 0.6245 0.1150 0.6245  6 Se 2.80-2.89
5 Tm 0.6245 0.6245 0.1150  6 Se 2.80-2.89
6 Sc 0.6245 0.6245 0.6245  6 Se 2.72-2.83
7 Se 0.3794 0.3794 0.3794  4 Tm 2.70-2.89
8 Se 0.3837 0.3837 0.8461  3 Tm 2.72-2.89, 1 Sc 2.83
9 Se 0.3837 0.8461 0.3837  3 Tm 2.72-2.89, 1 Sc 2.83
10 Se 0.4067 0.8563 0.8563  1 Sc 2.72, 1 Ca 2.77, 2 Tm 2.80
11 Se 0.8461 0.3837 0.3837  3 Tm 2.72-2.89, 1 Sc 2.83
12 Se 0.8563 0.4067 0.8563  1 Sc 2.72, 1 Ca 2.77, 2 Tm 2.80
13 Se 0.8563 0.8563 0.4067  1 Sc 2.72, 1 Ca 2.77, 2 Tm 2.80
14 Se 0.8625 0.8625 0.8625  1 Ca 2.77, 3 Tm 2.80

Computed properties:
- Uncorrected formation energy: -1.749 eV per atom

Entry 8:
CaTmSc2Se4 after structural relaxation. Source: the Alexandria database, functional PBE.

Cell lengths 6.9010, 3.9654, 6.9094 Å; angles 90.00, 109.15, 90.00 degrees
Closest atoms and distances in Å follow each position.
Positions (direct):
1 Ca 0.0000 0.0000 0.0000  6 Se 2.87-2.88
2 Tm 0.0000 0.5000 0.5000  6 Se 2.85
3 Sc 0.5000 0.0000 0.5000  6 Se 2.75
4 Sc 0.5000 0.5000 0.0000  6 Se 2.78
5 Se 0.2611 0.0000 0.7506  3 Sc 2.75-2.78, 2 Tm 2.85, 1 Ca 2.87
6 Se 0.2639 0.5000 0.2583  3 Sc 2.75-2.78, 1 Tm 2.85, 2 Ca 2.88
7 Se 0.7361 0.5000 0.7417  3 Sc 2.75-2.78, 1 Tm 2.85, 2 Ca 2.88
8 Se 0.7389 0.0000 0.2494  3 Sc 2.75-2.78, 2 Tm 2.85, 1 Ca 2.87

Computed properties:
- Uncorrected formation energy: -1.700 eV per atom

Entry 9:
Ca3TmSc3Se8 after structural relaxation. Source: the Alexandria database, functional PBE.

Cell lengths 8.1537, 8.1537, 8.1537 Å; angles 58.25, 58.25, 58.25 degrees
Closest atoms and distances in Å follow each position.
Positions (direct):
1 Ca 0.0000 0.5000 0.5000  6 Se 2.92-2.93
2 Ca 0.5000 0.0000 0.5000  6 Se 2.92-2.93
3 Ca 0.5000 0.5000 0.0000  6 Se 2.92-2.93
4 Tm 0.5000 0.5000 0.5000  6 Se 2.84
5 Sc 0.0000 0.0000 0.5000  6 Se 2.76-2.77
6 Sc 0.0000 0.5000 0.0000  6 Se 2.76-2.77
7 Sc 0.5000 0.0000 0.0000  6 Se 2.76-2.77
8 Se 0.2355 0.7495 0.7495  2 Sc 2.76, 1 Tm 2.84, 2 Ca 2.93
9 Se 0.2438 0.2438 0.2438  3 Sc 2.77, 3 Ca 2.92
10 Se 0.2505 0.2505 0.7645  2 Sc 2.76, 1 Tm 2.84, 2 Ca 2.93
11 Se 0.2505 0.7645 0.2505  2 Sc 2.76, 1 Tm 2.84, 2 Ca 2.93
12 Se 0.7495 0.2355 0.7495  2 Sc 2.76, 1 Tm 2.84, 2 Ca 2.93
13 Se 0.7495 0.7495 0.2355  2 Sc 2.76, 1 Tm 2.84, 2 Ca 2.93
14 Se 0.7562 0.7562 0.7562  3 Sc 2.77, 3 Ca 2.92
15 Se 0.7645 0.2505 0.2505  2 Sc 2.76, 1 Tm 2.84, 2 Ca 2.93

Computed properties:
- Uncorrected formation energy: -1.831 eV per atom

Entry 10:
Ca3Y3ScSe8 after structural relaxation. Source: the Alexandria database, functional PBE.

Cell lengths 8.3016, 8.3016, 8.3016 Å; angles 58.81, 58.81, 58.81 degrees
Closest atoms and distances in Å follow each position.
Positions (direct):
1 Ca 0.0000 0.5000 0.5000  6 Se 2.92-2.94
2 Ca 0.5000 0.0000 0.5000  6 Se 2.92-2.94
3 Ca 0.5000 0.5000 0.0000  6 Se 2.92-2.94
4 Y 0.0000 0.0000 0.5000  6 Se 2.88-2.89
5 Y 0.0000 0.5000 0.0000  6 Se 2.88-2.89
6 Y 0.5000 0.0000 0.0000  6 Se 2.88-2.89
7 Sc 0.5000 0.5000 0.5000  6 Se 2.79
8 Se 0.2487 0.2487 0.2487  3 Y 2.89, 3 Ca 2.92
9 Se 0.2553 0.7399 0.7399  1 Sc 2.79, 2 Y 2.88, 2 Ca 2.94
10 Se 0.2601 0.2601 0.7447  1 Sc 2.79, 2 Y 2.88, 2 Ca 2.94
11 Se 0.2601 0.7447 0.2601  1 Sc 2.79, 2 Y 2.88, 2 Ca 2.94
12 Se 0.7399 0.2553 0.7399  1 Sc 2.79, 2 Y 2.88, 2 Ca 2.94
13 Se 0.7399 0.7399 0.2553  1 Sc 2.79, 2 Y 2.88, 2 Ca 2.94
14 Se 0.7447 0.2601 0.2601  1 Sc 2.79, 2 Y 2.88, 2 Ca 2.94
15 Se 0.7513 0.7513 0.7513  3 Y 2.89, 3 Ca 2.92

Computed properties:
- Uncorrected formation energy: -1.900 eV per atom

Entry 11:
CaY2ScSe4 after structural relaxation. Source: the Alexandria database, functional PBE.

Cell lengths 7.0287, 4.0416, 7.0402 Å; angles 90.00, 109.15, 90.00 degrees
Closest atoms and distances in Å follow each position.
Positions (direct):
1 Ca 0.0000 0.0000 0.0000  6 Se 2.87-2.88
2 Y 0.0000 0.5000 0.5000  6 Se 2.92-2.93
3 Y 0.5000 0.0000 0.5000  6 Se 2.87
4 Sc 0.5000 0.5000 0.0000  6 Se 2.81
5 Se 0.2557 0.5000 0.2459  1 Sc 2.81, 3 Y 2.87-2.92, 2 Ca 2.88
6 Se 0.2599 0.0000 0.7601  2 Sc 2.81, 1 Ca 2.87, 3 Y 2.87-2.93
7 Se 0.7401 0.0000 0.2399  2 Sc 2.81, 1 Ca 2.87, 3 Y 2.87-2.93
8 Se 0.7443 0.5000 0.7541  1 Sc 2.81, 3 Y 2.87-2.92, 2 Ca 2.88

Computed properties:
- Uncorrected formation energy: -1.761 eV per atom

Entry 12:
Ca2YScSe4 after structural relaxation. Source: the Alexandria database, functional PBE.

Cell lengths 7.0234, 4.0619, 7.1617 Å; angles 90.00, 109.16, 90.00 degrees
Closest atoms and distances in Å follow each position.
Positions (direct):
1 Ca 0.0000 0.0000 0.0000  6 Se 2.96
2 Ca 0.5000 0.5000 0.0000  6 Se 2.90
3 Y 0.0000 0.5000 0.5000  6 Se 2.88
4 Sc 0.5000 0.0000 0.5000  6 Se 2.82
5 Se 0.2546 0.0000 0.7420  1 Sc 2.82, 2 Y 2.88, 3 Ca 2.90-2.96
6 Se 0.2614 0.5000 0.2633  2 Sc 2.82, 1 Y 2.88, 3 Ca 2.90-2.96
7 Se 0.7386 0.5000 0.7367  2 Sc 2.82, 1 Y 2.88, 3 Ca 2.90-2.96
8 Se 0.7454 0.0000 0.2580  1 Sc 2.82, 2 Y 2.88, 3 Ca 2.90-2.96

Computed properties:
- Uncorrected formation energy: -1.826 eV per atom